1.
LaURu2: relaxed, PBE.

Summary:
E = -8.94 eV per atom
space-group type = P4/mmm
DOS at the Fermi energy = 5.4 states/eV per cell
formation energy from the elements = -249 meV/atom

abc: 3.361 3.361 7.437
angles: 90.00 90.00 90.00
Atoms (fractional coordinates):
La 0.500 0.500 0.500
Ru 0.000 0.000 0.194
Ru 0.000 0.000 0.806
U 0.500 0.500 0.000



2.
LaVRu: relaxed, PBE.

Summary:
E = -7.80 eV per atom
space-group type = R3m
DOS at the Fermi energy = 22.6 states/eV per cell
formation energy from the elements = -30 meV/atom
energy above the lowest structure with this stoichiometry = 0.36 eV per formula unit

abc: 4.149 4.149 26.534
angles: 90.00 90.00 120.00
Atoms (fractional coordinates):
V 0.333 0.667 0.344
V 0.667 0.333 0.409
V 0.000 0.000 0.677
V 0.333 0.667 0.742
V 0.667 0.333 0.011
V 0.000 0.000 0.075
La 0.333 0.667 0.918
La 0.333 0.667 0.479
La 0.000 0.000 0.252
La 0.667 0.333 0.585
La 0.000 0.000 0.812
La 0.667 0.333 0.146
Ru 0.667 0.333 0.719
Ru 0.667 0.333 0.314
Ru 0.000 0.000 0.385
Ru 0.333 0.667 0.647
Ru 0.000 0.000 0.981
Ru 0.333 0.667 0.052



3.
LaV2Ru2: relaxed, PBE.

Summary:
E = -8.43 eV per atom
space-group type = I4/mmm
DOS at the Fermi energy = 4.9 states/eV per cell
formation energy from the elements = -82 meV/atom
energy above the lowest structure with this stoichiometry = 0.57 eV per formula unit

abc: 4.306 4.306 5.848
angles: 68.40 68.40 90.00
Atoms (fractional coordinates):
Ru 0.750 0.250 0.500
Ru 0.250 0.750 0.500
V 0.368 0.368 0.263
V 0.632 0.632 0.737
La 0.000 0.000 0.000



4.
LaVRu: relaxed, PBE.

Summary:
E = -7.74 eV per atom
space-group type = I4mm
DOS at the Fermi energy = 7.2 states/eV per cell
formation energy from the elements = 38 meV/atom
energy above the lowest structure with this stoichiometry = 0.56 eV per formula unit

abc: 3.162 3.162 11.911
angles: 90.00 90.00 90.00
Atoms (fractional coordinates):
La 0.000 0.000 0.145
La 0.500 0.500 0.645
V 0.500 0.500 0.353
V 0.000 0.000 0.853
Ru 0.000 0.000 0.443
Ru 0.500 0.500 0.943



5.
LaVRu: relaxed, PBE.

Summary:
E = -7.85 eV per atom
space-group type = C2/m
DOS at the Fermi energy = 14.7 states/eV per cell
formation energy from the elements = -79 meV/atom
energy above the lowest structure with this stoichiometry = 0.21 eV per formula unit

abc: 7.147 4.214 11.158
angles: 90.00 129.28 90.00
Atoms (fractional coordinates):
V 0.581 0.000 0.696
V 0.419 0.000 0.304
V 0.419 0.500 0.804
V 0.581 0.500 0.196
Ru 0.226 0.000 0.669
Ru 0.226 0.500 0.169
Ru 0.774 0.500 0.831
Ru 0.774 0.000 0.331
La 0.195 0.000 0.938
La 0.805 0.000 0.062
La 0.195 0.500 0.438
La 0.805 0.500 0.562



6.
LaVRu2: relaxed, PBE.

Summary:
E = -8.24 eV per atom
space-group type = P4/mmm
DOS at the Fermi energy = 4.5 states/eV per cell
formation energy from the elements = -87 meV/atom

abc: 3.080 3.080 7.363
angles: 90.00 90.00 90.00
Atoms (fractional coordinates):
Ru 0.000 0.000 0.808
Ru 0.000 0.000 0.192
V 0.500 0.500 0.000
La 0.500 0.500 0.500



7.
LaVRu: relaxed, PBE.

Summary:
E = -7.64 eV per atom
space-group type = P4/mmm
DOS at the Fermi energy = 7.0 states/eV per cell
formation energy from the elements = 133 meV/atom
energy above the lowest structure with this stoichiometry = 0.85 eV per formula unit

abc: 4.812 3.405 10.834
angles: 90.00 90.00 134.97
Atoms (fractional coordinates):
V 0.694 0.389 0.096
V 0.694 0.389 0.904
Ru 0.695 0.389 0.500
Ru 0.194 0.389 0.000
La 0.195 0.389 0.667
La 0.195 0.389 0.333



8.
LaV2Ru2: relaxed, PBE.

Summary:
E = -8.34 eV per atom
space-group type = P4/mbm
DOS at the Fermi energy = 8.7 states/eV per cell
formation energy from the elements = -1 meV/atom
energy above the lowest structure with this stoichiometry = 0.97 eV per formula unit

abc: 7.604 7.604 2.880
angles: 90.00 90.00 90.00
Atoms (fractional coordinates):
V 0.141 0.359 0.000
V 0.859 0.641 0.000
V 0.641 0.141 0.000
V 0.359 0.859 0.000
Ru 0.359 0.141 0.500
Ru 0.141 0.641 0.500
Ru 0.859 0.359 0.500
Ru 0.641 0.859 0.500
La 0.000 0.000 0.000
La 0.500 0.500 0.000



9.
La2VRu: relaxed, PBE.

Summary:
E = -6.61 eV per atom
space-group type = I-42d
DOS at the Fermi energy = 13.2 states/eV per cell
formation energy from the elements = 450 meV/atom
energy above the lowest structure with this stoichiometry = 0.90 eV per formula unit

abc: 7.979 7.979 6.490
angles: 52.07 52.07 90.00
Atoms (fractional coordinates):
La 0.084 0.625 0.250
La 0.875 0.916 0.750
La 0.666 0.125 0.250
La 0.375 0.334 0.750
V 0.250 0.750 0.500
V 0.500 0.500 0.000
Ru 0.750 0.250 0.500
Ru 0.000 0.000 0.000



10.
La2VRu: relaxed, PBE.

Summary:
E = -6.84 eV per atom
space-group type = Fm-3m
DOS at the Fermi energy = 3.5 states/eV per cell
formation energy from the elements = 226 meV/atom
energy above the lowest structure with this stoichiometry = 0.00 eV per formula unit

abc: 5.156 5.156 5.156
angles: 60.00 60.00 60.00
Atoms (fractional coordinates):
La 0.750 0.750 0.750
La 0.250 0.250 0.250
V 0.000 0.000 0.000
Ru 0.500 0.500 0.500



11.
LaVRu: relaxed, PBE.

Summary:
E = -7.90 eV per atom
space-group type = R-3m
DOS at the Fermi energy = 21.9 states/eV per cell
formation energy from the elements = -123 meV/atom
energy above the lowest structure with this stoichiometry = 0.08 eV per formula unit

abc: 4.124 4.124 26.771
angles: 90.00 90.00 120.00
Atoms (fractional coordinates):
La 0.667 0.333 0.555
La 0.333 0.667 0.445
La 0.000 0.000 0.222
La 0.000 0.000 0.778
La 0.333 0.667 0.888
La 0.667 0.333 0.112
V 0.000 0.000 0.353
V 0.000 0.000 0.647
V 0.333 0.667 0.314
V 0.667 0.333 0.981
V 0.333 0.667 0.019
V 0.667 0.333 0.686
Ru 0.333 0.667 0.716
Ru 0.000 0.000 0.050
Ru 0.000 0.000 0.950
Ru 0.667 0.333 0.284
Ru 0.333 0.667 0.617
Ru 0.667 0.333 0.383



12.
LaV2Ru2: relaxed, PBE.

Summary:
E = -8.54 eV per atom
space-group type = I4/mmm
DOS at the Fermi energy = 5.9 states/eV per cell
formation energy from the elements = -196 meV/atom
energy above the lowest structure with this stoichiometry = 0.00 eV per formula unit

abc: 4.191 4.191 6.099
angles: 69.90 69.90 90.00
Atoms (fractional coordinates):
V 0.250 0.750 0.500
V 0.750 0.250 0.500
Ru 0.629 0.629 0.742
Ru 0.371 0.371 0.258
La 0.000 0.000 0.000



13.
LaVRu3: relaxed, PBE.

Summary:
E = -8.10 eV per atom
space-group type = Pm-3m
DOS at the Fermi energy = 3.3 states/eV per cell
formation energy from the elements = 270 meV/atom
energy above the lowest structure with this stoichiometry = 0.00 eV per formula unit

abc: 4.577 4.577 4.577
angles: 90.00 90.00 90.00
Atoms (fractional coordinates):
La 0.500 0.500 0.500
Ru 0.000 0.000 0.500
Ru 0.000 0.500 0.000
Ru 0.500 0.000 0.000
V 0.000 0.000 0.000



14.
LaVRu: relaxed, PBE.

Summary:
E = -7.87 eV per atom
space-group type = P-1
DOS at the Fermi energy = 7.0 states/eV per cell
formation energy from the elements = -98 meV/atom
energy above the lowest structure with this stoichiometry = 0.15 eV per formula unit

abc: 3.091 3.115 12.287
angles: 89.39 82.83 89.98
Atoms (fractional coordinates):
La 0.576 0.736 0.856
La 0.424 0.264 0.144
V 0.282 0.253 0.434
V 0.718 0.747 0.566
Ru 0.164 0.243 0.674
Ru 0.836 0.757 0.326



15.
LaVRu2: relaxed, PBE.

Summary:
E = -7.92 eV per atom
space-group type = I-42d
DOS at the Fermi energy = 5.2 states/eV per cell
formation energy from the elements = 226 meV/atom

abc: 7.103 7.103 5.897
angles: 52.97 52.97 90.00
Atoms (fractional coordinates):
V 0.500 0.500 0.000
V 0.250 0.750 0.500
La 0.750 0.250 0.500
La 0.000 0.000 0.000
Ru 0.566 0.125 0.250
Ru 0.184 0.625 0.250
Ru 0.875 0.816 0.750
Ru 0.375 0.434 0.750



16.
LaVRu: relaxed, PBE.

Summary:
E = -7.81 eV per atom
space-group type = P2_1/m
DOS at the Fermi energy = 6.4 states/eV per cell
formation energy from the elements = -40 meV/atom
energy above the lowest structure with this stoichiometry = 0.33 eV per formula unit

abc: 3.024 3.984 10.543
angles: 90.00 95.73 90.00
Atoms (fractional coordinates):
La 0.026 0.750 0.158
La 0.974 0.250 0.842
V 0.194 0.250 0.560
V 0.806 0.750 0.440
Ru 0.458 0.250 0.346
Ru 0.542 0.750 0.654



17.
LaVRu: relaxed, PBE.

Summary:
E = -7.92 eV per atom
space-group type = P4/nmm
DOS at the Fermi energy = 8.0 states/eV per cell
formation energy from the elements = -149 meV/atom
energy above the lowest structure with this stoichiometry = 0.00 eV per formula unit

abc: 4.275 4.275 7.134
angles: 90.00 90.00 90.00
Atoms (fractional coordinates):
Ru 0.000 0.500 0.329
Ru 0.500 0.000 0.671
La 0.500 0.000 0.159
La 0.000 0.500 0.841
V 0.000 0.000 0.500
V 0.500 0.500 0.500



18.
LaVRu3: relaxed, PBE.

Summary:
E = -6.50 eV per atom
space-group type = Pm-3m
DOS at the Fermi energy = 6.7 states/eV per cell
formation energy from the elements = 1874 meV/atom
energy above the lowest structure with this stoichiometry = 8.02 eV per formula unit

abc: 4.776 4.776 4.776
angles: 90.00 90.00 90.00
Atoms (fractional coordinates):
La 0.000 0.000 0.000
Ru 0.500 0.000 0.000
Ru 0.000 0.000 0.500
Ru 0.000 0.500 0.000
V 0.500 0.500 0.500



19.
LaV2Ru2: relaxed, PBE.

Summary:
E = -8.27 eV per atom
space-group type = P4/mbm
DOS at the Fermi energy = 11.6 states/eV per cell
formation energy from the elements = 73 meV/atom
energy above the lowest structure with this stoichiometry = 1.35 eV per formula unit

abc: 7.665 7.665 2.929
angles: 90.00 90.00 90.00
Atoms (fractional coordinates):
La 0.500 0.500 0.000
La 0.000 0.000 0.000
Ru 0.347 0.847 0.000
Ru 0.847 0.653 0.000
Ru 0.653 0.153 0.000
Ru 0.153 0.347 0.000
V 0.370 0.130 0.500
V 0.870 0.370 0.500
V 0.630 0.870 0.500
V 0.130 0.630 0.500



20.
La2VRu2: relaxed, PBE.

Summary:
E = -7.49 eV per atom
space-group type = P4/mbm
DOS at the Fermi energy = 14.3 states/eV per cell
formation energy from the elements = 14 meV/atom

abc: 6.621 6.621 4.884
angles: 90.00 90.00 90.00
Atoms (fractional coordinates):
La 0.177 0.677 0.500
La 0.823 0.323 0.500
La 0.677 0.823 0.500
La 0.323 0.177 0.500
Ru 0.853 0.647 0.000
Ru 0.647 0.147 0.000
Ru 0.353 0.853 0.000
Ru 0.147 0.353 0.000
V 0.000 0.000 0.000
V 0.500 0.500 0.000



21.
LaVRu: relaxed, PBE.

Summary:
E = -7.72 eV per atom
space-group type = P3m1
DOS at the Fermi energy = 4.4 states/eV per cell
formation energy from the elements = 52 meV/atom
energy above the lowest structure with this stoichiometry = 0.60 eV per formula unit

abc: 4.051 4.051 4.758
angles: 90.00 90.00 120.00
Atoms (fractional coordinates):
La 0.667 0.333 0.716
V 0.000 0.000 0.231
Ru 0.333 0.667 0.173



22.
LaY2VRu: relaxed, PBE.

Summary:
E = -6.92 eV per atom
space-group type = P4/mmm
DOS at the Fermi energy = 5.7 states/eV per cell
formation energy from the elements = 329 meV/atom

abc: 5.367 5.351 5.367
angles: 90.00 90.00 90.00
Atoms (fractional coordinates):
Ru 0.000 0.000 0.000
V 0.500 0.500 0.500
Y 0.500 0.000 0.000
Y 0.000 0.000 0.500
La 0.000 0.500 0.000



23.
LaZrV2Ru: relaxed, PBE.

Summary:
E = -7.36 eV per atom
space-group type = P4/mmm
DOS at the Fermi energy = 9.3 states/eV per cell
formation energy from the elements = 834 meV/atom

abc: 4.666 5.214 4.666
angles: 90.00 90.00 90.00
Atoms (fractional coordinates):
La 0.000 0.500 0.000
V 0.000 0.000 0.500
V 0.500 0.000 0.000
Zr 0.500 0.500 0.500
Ru 0.000 0.000 0.000



24.
LaRuW2: relaxed, PBE.

Summary:
E = -9.13 eV per atom
space-group type = I-42d
DOS at the Fermi energy = 8.8 states/eV per cell
formation energy from the elements = 899 meV/atom
energy above the lowest structure with this stoichiometry = 2.27 eV per formula unit

abc: 7.862 7.862 6.197
angles: 50.63 50.63 90.00
Atoms (fractional coordinates):
W 0.565 0.125 0.250
W 0.375 0.435 0.750
W 0.185 0.625 0.250
W 0.875 0.815 0.750
Ru 0.250 0.750 0.500
Ru 0.500 0.500 0.000
La 0.000 0.000 0.000
La 0.750 0.250 0.500



25.
La2RuW: relaxed, PBE.

Summary:
E = -7.89 eV per atom
space-group type = R3m
DOS at the Fermi energy = 4.2 states/eV per cell
formation energy from the elements = 127 meV/atom

abc: 8.157 8.157 8.157
angles: 29.81 29.81 29.81
Atoms (fractional coordinates):
La 0.216 0.216 0.216
La 0.033 0.033 0.033
W 0.781 0.781 0.781
Ru 0.471 0.471 0.471



26.
La2RuW: relaxed, PBE.

Summary:
E = -7.73 eV per atom
space-group type = Pm
DOS at the Fermi energy = 5.2 states/eV per cell
formation energy from the elements = 293 meV/atom

abc: 3.980 3.183 8.515
angles: 74.29 90.00 90.00
Atoms (fractional coordinates):
Ru 0.000 0.483 0.563
W 0.500 0.746 0.676
La 0.000 0.986 0.928
La 0.500 0.285 0.332